# 1
# PBE TlCdCl2, optimized geometry
# Total moment ... 0.000 μB per atom
# Space group ... C2/c (15)
# Volume ... 252 Å³ per cell
# Formation energy (no corrections) ... -0.6808 eV per atom
# ΔE to the lowest computed polymorph ... 44 meV per atom
data_TlCdCl2
_symmetry_space_group_name_H-M 'P 1'
_symmetry_Int_Tables_number 1
_cell_length_a 8.884
_cell_length_b 8.884
_cell_length_c 5.772
_cell_angle_alpha 108.74
_cell_angle_beta 108.74
_cell_angle_gamma 36.06
loop_
_symmetry_equiv_pos_as_xyz
'x,y,z'
loop_
_atom_site_label
_atom_site_type_symbol
_atom_site_fract_x
_atom_site_fract_y
_atom_site_fract_z
Tl1 Tl 0.000 0.500 0.000
Tl2 Tl 0.500 0.000 0.500
Cd1 Cd 0.000 0.000 0.000
Cd2 Cd 0.000 0.000 0.500
Cl1 Cl 0.120 0.614 0.614
Cl2 Cl 0.386 0.880 0.886
Cl3 Cl 0.614 0.120 0.114
Cl4 Cl 0.880 0.386 0.386

# 2
# PBE Tl2Cd3Cl8, optimized geometry
# Total moment ... 0.000 μB per atom
# Space group ... C2/m (12)
# Volume ... 405 Å³ per cell
# Formation energy (no corrections) ... -1.0794 eV per atom
data_Tl2Cd3Cl8
_symmetry_space_group_name_H-M 'P 1'
_symmetry_Int_Tables_number 1
_cell_length_a 8.706
_cell_length_b 8.706
_cell_length_c 6.901
_cell_angle_alpha 106.08
_cell_angle_beta 106.08
_cell_angle_gamma 54.57
loop_
_symmetry_equiv_pos_as_xyz
'x,y,z'
loop_
_atom_site_label
_atom_site_type_symbol
_atom_site_fract_x
_atom_site_fract_y
_atom_site_fract_z
Tl1 Tl 0.228 0.228 0.166
Tl2 Tl 0.772 0.772 0.834
Cd1 Cd 0.242 0.758 0.500
Cd2 Cd 0.500 0.500 0.000
Cd3 Cd 0.758 0.242 0.500
Cl1 Cl 0.108 0.108 0.457
Cl2 Cl 0.172 0.630 0.110
Cl3 Cl 0.370 0.828 0.890
Cl4 Cl 0.402 0.402 0.597
Cl5 Cl 0.598 0.598 0.403
Cl6 Cl 0.630 0.172 0.110
Cl7 Cl 0.828 0.370 0.890
Cl8 Cl 0.892 0.892 0.543

# 3
# PBE TlCd5Cl11, optimized geometry
# Total moment ... 0.000 μB per atom
# Space group ... C2/m (12)
# Volume ... 503 Å³ per cell
# Formation energy (no corrections) ... -1.0378 eV per atom
data_TlCd5Cl11
_symmetry_space_group_name_H-M 'P 1'
_symmetry_Int_Tables_number 1
_cell_length_a 8.528
_cell_length_b 8.528
_cell_length_c 8.036
_cell_angle_alpha 101.99
_cell_angle_beta 101.99
_cell_angle_gamma 111.92
loop_
_symmetry_equiv_pos_as_xyz
'x,y,z'
loop_
_atom_site_label
_atom_site_type_symbol
_atom_site_fract_x
_atom_site_fract_y
_atom_site_fract_z
Tl1 Tl 0.000 0.000 0.000
Cd1 Cd 0.075 0.366 0.635
Cd2 Cd 0.366 0.075 0.635
Cd3 Cd 0.500 0.500 0.000
Cd4 Cd 0.634 0.925 0.365
Cd5 Cd 0.925 0.634 0.365
Cl1 Cl 0.000 0.000 0.500
Cl2 Cl 0.125 0.703 0.675
Cl3 Cl 0.160 0.412 0.967
Cl4 Cl 0.297 0.875 0.325
Cl5 Cl 0.398 0.398 0.638
Cl6 Cl 0.412 0.160 0.967
Cl7 Cl 0.588 0.840 0.033
Cl8 Cl 0.602 0.602 0.362
Cl9 Cl 0.703 0.125 0.675
Cl10 Cl 0.840 0.588 0.033
Cl11 Cl 0.875 0.297 0.325

# 4
# PBE Tl5CdCl8, optimized geometry
# Total moment ... 0.070 μB per atom
# Space group ... I-4 (82)
# Volume ... 552 Å³ per cell
# Formation energy (no corrections) ... -0.9436 eV per atom
data_Tl5CdCl8
_symmetry_space_group_name_H-M 'P 1'
_symmetry_Int_Tables_number 1
_cell_length_a 8.984
_cell_length_b 8.984
_cell_length_c 8.984
_cell_angle_alpha 106.20
_cell_angle_beta 106.20
_cell_angle_gamma 116.23
loop_
_symmetry_equiv_pos_as_xyz
'x,y,z'
loop_
_atom_site_label
_atom_site_type_symbol
_atom_site_fract_x
_atom_site_fract_y
_atom_site_fract_z
Tl1 Tl 0.000 0.000 0.000
Tl2 Tl 0.151 0.626 0.021
Tl3 Tl 0.374 0.395 0.525
Tl4 Tl 0.605 0.130 0.979
Tl5 Tl 0.870 0.849 0.475
Cd1 Cd 0.750 0.250 0.500
Cl1 Cl 0.068 0.316 0.664
Cl2 Cl 0.079 0.348 0.183
Cl3 Cl 0.104 0.921 0.269
Cl4 Cl 0.166 0.896 0.817
Cl5 Cl 0.596 0.932 0.248
Cl6 Cl 0.652 0.404 0.336
Cl7 Cl 0.652 0.834 0.731
Cl8 Cl 0.684 0.348 0.752

# 5
# PBE Tl3Cd2Cl8, optimized geometry
# Total moment ... 0.000 μB per atom
# Space group ... R-3m (166)
# Volume ... 429 Å³ per cell
# Formation energy (no corrections) ... -0.8957 eV per atom
data_Tl3Cd2Cl8
_symmetry_space_group_name_H-M 'P 1'
_symmetry_Int_Tables_number 1
_cell_length_a 9.405
_cell_length_b 9.405
_cell_length_c 9.405
_cell_angle_alpha 48.57
_cell_angle_beta 48.57
_cell_angle_gamma 48.57
loop_
_symmetry_equiv_pos_as_xyz
'x,y,z'
loop_
_atom_site_label
_atom_site_type_symbol
_atom_site_fract_x
_atom_site_fract_y
_atom_site_fract_z
Tl1 Tl 0.000 0.000 0.000
Tl2 Tl 0.191 0.191 0.191
Tl3 Tl 0.809 0.809 0.809
Cd1 Cd 0.407 0.407 0.407
Cd2 Cd 0.593 0.593 0.593
Cl1 Cl 0.209 0.743 0.743
Cl2 Cl 0.257 0.257 0.791
Cl3 Cl 0.257 0.791 0.257
Cl4 Cl 0.307 0.307 0.307
Cl5 Cl 0.693 0.693 0.693
Cl6 Cl 0.743 0.209 0.743
Cl7 Cl 0.743 0.743 0.209
Cl8 Cl 0.791 0.257 0.257

# 6
# PBE Tl2CdCl4, optimized geometry
# Total moment ... 0.000 μB per atom
# Space group ... Pbam (55)
# Volume ... 429 Å³ per cell
# Formation energy (no corrections) ... -1.0569 eV per atom
# ΔE to the lowest computed polymorph ... 0 meV per atom
data_Tl2CdCl4
_symmetry_space_group_name_H-M 'P 1'
_symmetry_Int_Tables_number 1
_cell_length_a 8.311
_cell_length_b 12.346
_cell_length_c 4.178
_cell_angle_alpha 90.00
_cell_angle_beta 90.00
_cell_angle_gamma 90.00
loop_
_symmetry_equiv_pos_as_xyz
'x,y,z'
loop_
_atom_site_label
_atom_site_type_symbol
_atom_site_fract_x
_atom_site_fract_y
_atom_site_fract_z
Tl1 Tl 0.079 0.180 0.000
Tl2 Tl 0.421 0.680 0.000
Tl3 Tl 0.579 0.320 0.000
Tl4 Tl 0.921 0.820 0.000
Cd1 Cd 0.000 0.500 0.500
Cd2 Cd 0.500 0.000 0.500
Cl1 Cl 0.134 0.691 0.500
Cl2 Cl 0.194 0.436 0.000
Cl3 Cl 0.306 0.936 0.000
Cl4 Cl 0.366 0.191 0.500
Cl5 Cl 0.634 0.809 0.500
Cl6 Cl 0.694 0.064 0.000
Cl7 Cl 0.806 0.564 0.000
Cl8 Cl 0.866 0.309 0.500

# 7
# PBE TlCdCl2, optimized geometry
# Total moment ... 0.000 μB per atom
# Space group ... I-42d (122)
# Volume ... 313 Å³ per cell
# Formation energy (no corrections) ... -0.6646 eV per atom
# ΔE to the lowest computed polymorph ... 60 meV per atom
data_TlCdCl2
_symmetry_space_group_name_H-M 'P 1'
_symmetry_Int_Tables_number 1
_cell_length_a 8.868
_cell_length_b 8.868
_cell_length_c 8.868
_cell_angle_alpha 137.62
_cell_angle_beta 137.62
_cell_angle_gamma 61.49
loop_
_symmetry_equiv_pos_as_xyz
'x,y,z'
loop_
_atom_site_label
_atom_site_type_symbol
_atom_site_fract_x
_atom_site_fract_y
_atom_site_fract_z
Tl1 Tl 0.000 0.000 0.000
Tl2 Tl 0.750 0.250 0.500
Cd1 Cd 0.250 0.750 0.500
Cd2 Cd 0.500 0.500 0.000
Cl1 Cl 0.183 0.625 0.058
Cl2 Cl 0.375 0.433 0.558
Cl3 Cl 0.567 0.125 0.942
Cl4 Cl 0.875 0.817 0.442

# 8
# PBE TlCd2Cl6, optimized geometry
# Total moment ... 0.000 μB per atom
# Space group ... C2/m (12)
# Volume ... 268 Å³ per cell
# Formation energy (no corrections) ... -0.9027 eV per atom
data_TlCd2Cl6
_symmetry_space_group_name_H-M 'P 1'
_symmetry_Int_Tables_number 1
_cell_length_a 7.031
_cell_length_b 7.031
_cell_length_c 9.057
_cell_angle_alpha 116.17
_cell_angle_beta 116.17
_cell_angle_gamma 42.72
loop_
_symmetry_equiv_pos_as_xyz
'x,y,z'
loop_
_atom_site_label
_atom_site_type_symbol
_atom_site_fract_x
_atom_site_fract_y
_atom_site_fract_z
Tl1 Tl 0.000 0.000 0.000
Cd1 Cd 0.178 0.178 0.604
Cd2 Cd 0.822 0.822 0.396
Cl1 Cl 0.016 0.016 0.698
Cl2 Cl 0.298 0.298 0.423
Cl3 Cl 0.357 0.357 0.899
Cl4 Cl 0.643 0.643 0.101
Cl5 Cl 0.702 0.702 0.577
Cl6 Cl 0.984 0.984 0.302

# 9
# PBE Tl2CdCl4, optimized geometry
# Total moment ... 0.000 μB per atom
# Space group ... I4/mmm (139)
# Volume ... 221 Å³ per cell
# Formation energy (no corrections) ... -1.0307 eV per atom
# ΔE to the lowest computed polymorph ... 26 meV per atom
data_Tl2CdCl4
_symmetry_space_group_name_H-M 'P 1'
_symmetry_Int_Tables_number 1
_cell_length_a 8.737
_cell_length_b 8.737
_cell_length_c 8.737
_cell_angle_alpha 144.79
_cell_angle_beta 144.79
_cell_angle_gamma 50.65
loop_
_symmetry_equiv_pos_as_xyz
'x,y,z'
loop_
_atom_site_label
_atom_site_type_symbol
_atom_site_fract_x
_atom_site_fract_y
_atom_site_fract_z
Tl1 Tl 0.140 0.140 0.000
Tl2 Tl 0.860 0.860 0.000
Cd1 Cd 0.500 0.500 0.000
Cl1 Cl 0.000 0.500 0.500
Cl2 Cl 0.335 0.335 0.000
Cl3 Cl 0.500 0.000 0.500
Cl4 Cl 0.665 0.665 0.000

# 10
# PBE Tl3CdCl, optimized geometry
# Total moment ... 0.000 μB per atom
# Space group ... Pm-3m (221)
# Volume ... 201 Å³ per cell
# Formation energy (no corrections) ... -0.0386 eV per atom
# ΔE to the lowest computed polymorph ... 0 meV per atom
data_Tl3CdCl
_symmetry_space_group_name_H-M 'P 1'
_symmetry_Int_Tables_number 1
_cell_length_a 5.860
_cell_length_b 5.860
_cell_length_c 5.860
_cell_angle_alpha 90.00
_cell_angle_beta 90.00
_cell_angle_gamma 90.00
loop_
_symmetry_equiv_pos_as_xyz
'x,y,z'
loop_
_atom_site_label
_atom_site_type_symbol
_atom_site_fract_x
_atom_site_fract_y
_atom_site_fract_z
Tl1 Tl 0.000 0.000 0.500
Tl2 Tl 0.000 0.500 0.000
Tl3 Tl 0.500 0.000 0.000
Cd1 Cd 0.500 0.500 0.500
Cl1 Cl 0.000 0.000 0.000